[1]
KZn2Br PBE relaxed; raw formation energy = -448.2 meV per atom; excess energy over the best structure of this formula in the dataset = 18 meV/atom
1.0
3.9398 -0.0266 0.0000
0.0284 3.9397 0.0000
0.0000 0.0000 7.5319
Zn K Br
2 1 1
direct
0.5000 0.5000 0.1459
0.0000 0.0000 0.1327
0.5000 0.5000 0.7098
0.0000 0.0000 0.5115



[2]
KZn4Br PBE relaxed; raw formation energy = -37.3 meV per atom
1.0
0.0000 4.2171 4.2171
4.2171 0.0000 4.2171
4.2171 4.2171 0.0000
Zn K Br
4 1 1
direct
0.8691 0.3770 0.3770
0.3770 0.8691 0.3770
0.3770 0.3770 0.8691
0.3770 0.3770 0.3770
0.0000 0.0000 0.0000
0.7500 0.7500 0.7500



[3]
KZn2Br PBE relaxed; raw formation energy = -285.5 meV per atom; excess energy over the best structure of this formula in the dataset = 181 meV/atom
1.0
9.3737 0.0000 0.0000
0.0000 9.3737 0.0000
4.6868 4.6868 3.0727
Zn Br K
4 2 2
direct
0.6461 0.1250 0.2500
0.3750 0.3539 0.7500
0.8750 0.8961 0.7500
0.1039 0.6250 0.2500
0.7500 0.2500 0.5000
0.0000 0.0000 0.0000
0.2500 0.7500 0.5000
0.5000 0.5000 0.0000



[4]
K2ZnBr PBE relaxed; raw formation energy = -632.6 meV per atom; excess energy over the best structure of this formula in the dataset = 62 meV/atom
1.0
-4.5181 1.8825 3.0912
3.0835 -0.5935 4.8684
1.3877 3.9776 -0.3940
K Zn Br
2 1 1
direct
0.0000 0.0000 0.0000
0.5000 0.5000 0.0000
0.5000 0.0000 0.5000
0.0000 0.5000 0.5000



[5]
KZnBr2 PBE relaxed; raw formation energy = -921.1 meV per atom; excess energy over the best structure of this formula in the dataset = 42 meV/atom
1.0
-5.3652 4.3029 2.5680
-6.8313 2.5361 -0.8926
-1.5020 -3.2314 2.2861
Br Zn K
2 1 1
direct
0.0483 0.0483 0.1255
0.7627 0.7627 0.6225
0.2324 0.2324 0.1262
0.4565 0.4565 0.6258



[6]
K2ZnBr PBE relaxed; raw formation energy = -366.2 meV per atom; excess energy over the best structure of this formula in the dataset = 328 meV/atom
1.0
5.9635 0.0000 0.0000
2.9817 5.1645 0.0000
2.9817 1.7215 4.8692
Br K Zn
1 2 1
direct
0.5000 0.5000 0.5000
0.2500 0.2500 0.2500
0.0000 0.0000 0.0000
0.7500 0.7500 0.7500



[7]
K2ZnBr PBE relaxed; raw formation energy = -657.6 meV per atom; excess energy over the best structure of this formula in the dataset = 37 meV/atom
1.0
9.4511 0.0634 -0.0140
7.4961 5.7563 0.0140
-8.4141 -3.0831 3.0041
Br Zn K
1 1 2
direct
0.7947 0.2947 0.5000
0.5504 0.5504 0.0000
0.9403 0.9403 0.0000
0.2145 0.7145 0.5000



[8]
KZnBr2 PBE relaxed; raw formation energy = -771.8 meV per atom; excess energy over the best structure of this formula in the dataset = 191 meV/atom
1.0
-4.5707 1.3249 -2.5045
-2.6265 -0.1981 4.6884
0.7569 3.7092 0.5808
K Br Zn
1 2 1
direct
0.5000 0.0000 0.5000
0.0000 0.0000 0.0000
0.5000 0.5000 0.0000
0.0000 0.5000 0.5000



[9]
KZn2Br PBE relaxed; raw formation energy = -399.6 meV per atom; excess energy over the best structure of this formula in the dataset = 67 meV/atom
1.0
-0.1407 -2.4235 -7.0952
5.6741 1.5244 4.6600
2.6124 -3.3277 -0.1747
Br Zn K
1 2 1
direct
0.5000 0.0000 0.5000
0.0000 0.0000 0.0000
0.5000 0.5000 0.0000
0.0000 0.5000 0.5000



[10]
KZn2Br PBE relaxed; raw formation energy = -180.1 meV per atom; excess energy over the best structure of this formula in the dataset = 286 meV/atom
1.0
0.0000 4.0585 4.0585
4.0585 0.0000 4.0585
4.0585 4.0585 0.0000
Zn K Br
2 1 1
direct
0.7500 0.7500 0.7500
0.2500 0.2500 0.2500
0.0000 0.0000 0.0000
0.5000 0.5000 0.5000



[11]
KZn2Br5 PBE relaxed; raw formation energy = -1083.9 meV per atom
1.0
-4.4024 -6.2589 -2.1469
7.7593 0.4863 -1.8979
2.6771 -5.1818 9.6171
Zn Br K
4 10 2
direct
0.6937 0.5375 0.0763
0.6937 0.5375 0.4237
0.3063 0.4625 0.9237
0.3063 0.4625 0.5763
0.6148 0.3181 0.2500
0.5129 0.3109 0.5886
0.0277 0.7741 0.4585
0.9723 0.2259 0.9585
0.3852 0.6819 0.7500
0.9723 0.2259 0.5415
0.0277 0.7741 0.0415
0.4871 0.6891 0.0886
0.4871 0.6891 0.4114
0.5129 0.3109 0.9114
0.9163 0.8847 0.7500
0.0837 0.1153 0.2500



[12]
K2ZnBr PBE relaxed; raw formation energy = -694.5 meV per atom; excess energy over the best structure of this formula in the dataset = 0 meV/atom
1.0
4.1188 0.0000 0.0000
0.0000 4.0419 0.0148
0.0000 4.0093 8.3868
Zn Br K
1 1 2
direct
0.5000 0.2500 0.2500
0.5000 0.7500 0.7500
0.0000 0.0168 0.9821
0.0000 0.4832 0.5179



[13]
KZnBr PBE relaxed; raw formation energy = -709.9 meV per atom; excess energy over the best structure of this formula in the dataset = 32 meV/atom
1.0
4.9106 0.0000 0.0000
-2.4553 4.2527 0.0000
0.0000 0.0000 5.7655
K Br Zn
1 1 1
direct
0.6667 0.3333 0.2863
0.0000 0.0000 0.0214
0.3333 0.6667 0.6922



[14]
KZnBr2 PBE relaxed; raw formation energy = -962.9 meV per atom; excess energy over the best structure of this formula in the dataset = 0 meV/atom
1.0
-0.2497 1.0184 -5.0196
-4.1432 -1.1245 -0.0220
-3.2312 5.3861 1.2535
K Zn Br
1 1 2
direct
0.0000 0.5734 0.4208
0.5000 0.9050 0.9308
0.5000 0.1330 0.2887
0.0000 0.8887 0.8596



[15]
KZnBr3 PBE relaxed; raw formation energy = -123.1 meV per atom; excess energy over the best structure of this formula in the dataset = 1110 meV/atom
1.0
6.2046 0.0000 0.0000
0.0000 6.2046 0.0000
0.0000 0.0000 6.2046
Br Zn K
3 1 1
direct
0.0000 0.5000 0.0000
0.5000 0.0000 0.0000
0.0000 0.0000 0.5000
0.5000 0.5000 0.5000
0.0000 0.0000 0.0000



[16]
K2ZnBr PBE relaxed; raw formation energy = -621.5 meV per atom; excess energy over the best structure of this formula in the dataset = 73 meV/atom
1.0
-4.4467 -5.1460 -0.3085
-0.7451 -6.6439 1.2859
-1.7146 1.1376 5.0493
Br K Zn
1 2 1
direct
0.7321 0.7321 0.8756
0.0011 0.0011 0.8751
0.2496 0.2496 0.3749
0.5172 0.5172 0.3744



[17]
KZn2Br PBE relaxed; raw formation energy = -164.6 meV per atom; excess energy over the best structure of this formula in the dataset = 302 meV/atom
1.0
-6.4653 -3.0595 4.5816
-3.0001 -2.8258 7.4274
-5.3978 0.8561 6.5024
Zn K Br
2 1 1
direct
0.9879 0.9879 0.9879
0.5121 0.5121 0.5121
0.7500 0.7500 0.7500
0.2500 0.2500 0.2500



[18]
K12Zn3Br5 PBE relaxed; raw formation energy = -684.8 meV per atom
1.0
17.4773 0.0000 0.0000
-5.8258 16.4778 0.0000
-5.8258 -8.2389 14.2702
K Br Zn
48 20 12
direct
0.4134 0.3700 0.5860
0.0866 0.1726 0.4566
0.8700 0.2840 0.4566
0.6726 0.4566 0.5866
0.1726 0.0860 0.7160
0.3700 0.9566 0.7840
0.8700 0.5860 0.9134
0.4134 0.0434 0.3274
0.5866 0.6300 0.4140
0.3274 0.7840 0.4140
0.2160 0.5434 0.6300
0.9566 0.5866 0.1726
0.9140 0.0866 0.6300
0.3274 0.5434 0.4134
0.0866 0.9140 0.1300
0.5860 0.8700 0.4134
0.5866 0.9566 0.6726
0.5434 0.3274 0.9134
0.7840 0.3274 0.9140
0.9134 0.0860 0.8700
0.4566 0.6726 0.0866
0.5434 0.2160 0.1300
0.0860 0.9134 0.3700
0.4140 0.2840 0.3274
0.7160 0.5860 0.1726
0.2840 0.4140 0.8274
0.9140 0.8274 0.7840
0.7840 0.4566 0.3700
0.8274 0.9134 0.0434
0.1300 0.7160 0.5434
0.4566 0.7840 0.8700
0.2840 0.8700 0.9566
0.4140 0.1300 0.5866
0.7160 0.1300 0.0434
0.6300 0.5866 0.9140
0.9134 0.8274 0.5434
0.0860 0.1726 0.2160
0.8274 0.9140 0.2840
0.6726 0.2160 0.5860
0.6300 0.0434 0.2160
0.0434 0.6300 0.7160
0.5860 0.7160 0.6726
0.0434 0.4134 0.8274
0.3700 0.4134 0.0860
0.1300 0.4140 0.0866
0.9566 0.3700 0.2840
0.2160 0.6726 0.0860
0.1726 0.0866 0.9566
0.0000 0.0000 0.5000
0.7500 0.1250 0.8750
0.2500 0.8750 0.1250
0.6250 0.8750 0.2500
0.3750 0.1250 0.7500
0.7500 0.6250 0.3750
0.5000 0.5000 0.0000
0.5000 0.0000 0.5000
0.2500 0.3750 0.6250
0.8750 0.2500 0.6250
0.5000 0.0000 0.0000
0.0000 0.5000 0.0000
0.0000 0.5000 0.5000
0.6250 0.7500 0.8750
0.0000 0.0000 0.0000
0.1250 0.3750 0.2500
0.1250 0.7500 0.3750
0.3750 0.2500 0.1250
0.5000 0.5000 0.5000
0.8750 0.6250 0.7500
0.8750 0.7500 0.1250
0.7500 0.8750 0.6250
0.6250 0.2500 0.3750
0.7500 0.3750 0.1250
0.3750 0.6250 0.2500
0.1250 0.8750 0.7500
0.2500 0.1250 0.3750
0.6250 0.3750 0.7500
0.3750 0.7500 0.6250
0.1250 0.2500 0.8750
0.2500 0.6250 0.8750
0.8750 0.1250 0.2500



[19]
KZn2Br PBE relaxed; raw formation energy = -346.2 meV per atom; excess energy over the best structure of this formula in the dataset = 120 meV/atom
1.0
5.6621 -0.0958 -0.0013
0.0319 5.6628 0.0013
-2.2298 -3.4148 3.9288
Br Zn K
1 2 1
direct
0.4861 0.4861 0.0000
0.1921 0.6921 0.5000
0.0662 0.0662 0.0000
0.7556 0.2556 0.5000



[20]
KZn2Br PBE relaxed; raw formation energy = -466.5 meV per atom; excess energy over the best structure of this formula in the dataset = 0 meV/atom
1.0
-0.9846 1.3919 -3.5525
-2.2467 -3.2508 -0.6510
-6.9211 1.7605 2.6080
Br Zn K
1 2 1
direct
0.0000 0.5599 0.5164
0.0000 0.7381 0.1396
0.5000 0.2452 0.1248
0.5000 0.9568 0.7192